Entry 1:
# PuSc5Ir6 | the Alexandria database | GGA-PBE | optimized geometry
data_PuSc5Ir6
_cell_length_a 4.500
_cell_length_b 13.532
_cell_length_c 6.877
_cell_angle_alpha 90.00
_cell_angle_beta 90.00
_cell_angle_gamma 90.00
_space_group_name_H-M_alt 'C m m m'
_space_group_IT_number 65
_space_group_name_Hall '-C 2 2'
loop_
_atom_site_label
_atom_site_type_symbol
_atom_site_fract_x
_atom_site_fract_y
_atom_site_fract_z
_atom_site_occupancy
Pu1 Pu 0.000 0.000 0.000 1
Sc1 Sc 0.000 0.000 0.500 1
Sc2 Sc 0.000 0.331 0.000 1
Sc3 Sc 0.000 0.332 0.500 1
Ir1 Ir 0.000 0.168 0.256 1
Ir2 Ir 0.000 0.500 0.261 1
# ΔH_f (0 K) = -0.87 eV/atom



Entry 2:
# PuSc3Ir | the Alexandria database | GGA-PBE | optimized geometry
data_PuSc3Ir
_cell_length_a 3.246
_cell_length_b 7.991
_cell_length_c 8.824
_cell_angle_alpha 104.55
_cell_angle_beta 100.58
_cell_angle_gamma 90.00
_space_group_name_H-M_alt 'P -1'
_space_group_IT_number 2
_space_group_name_Hall '-P 1'
loop_
_atom_site_label
_atom_site_type_symbol
_atom_site_fract_x
_atom_site_fract_y
_atom_site_fract_z
_atom_site_occupancy
Pu1 Pu 0.099 0.049 0.199 1
Sc1 Sc 0.301 0.194 0.602 1
Sc2 Sc 0.318 0.612 0.636 1
Sc3 Sc 0.496 0.302 0.992 1
Ir1 Ir 0.100 0.557 0.200 1
# ΔH_f (0 K) = -0.39 eV/atom



Entry 3:
# PuSc5Ir4 | the Alexandria database | GGA-PBE | optimized geometry
data_PuSc5Ir4
_cell_length_a 3.205
_cell_length_b 3.205
_cell_length_c 17.948
_cell_angle_alpha 90.00
_cell_angle_beta 90.00
_cell_angle_gamma 90.00
_space_group_name_H-M_alt 'P 4/m m m'
_space_group_IT_number 123
_space_group_name_Hall '-P 4 2'
loop_
_atom_site_label
_atom_site_type_symbol
_atom_site_fract_x
_atom_site_fract_y
_atom_site_fract_z
_atom_site_occupancy
Pu1 Pu 0.000 0.000 0.000 1
Sc1 Sc 0.500 0.500 0.136 1
Sc2 Sc 0.500 0.500 0.317 1
Sc3 Sc 0.500 0.500 0.500 1
Ir1 Ir 0.000 0.000 0.225 1
Ir2 Ir 0.000 0.000 0.409 1
# ΔH_f (0 K) = -0.80 eV/atom



Entry 4:
# PuScIr4 | the Alexandria database | GGA-PBE | optimized geometry
data_PuScIr4
_cell_length_a 7.497
_cell_length_b 7.497
_cell_length_c 7.497
_cell_angle_alpha 90.00
_cell_angle_beta 90.00
_cell_angle_gamma 90.00
_space_group_name_H-M_alt 'F -4 3 m'
_space_group_IT_number 216
_space_group_name_Hall 'F -4 2 3'
loop_
_atom_site_label
_atom_site_type_symbol
_atom_site_fract_x
_atom_site_fract_y
_atom_site_fract_z
_atom_site_occupancy
Pu1 Pu 0.000 0.000 0.000 1
Sc1 Sc 0.250 0.250 0.750 1
Ir1 Ir 0.125 0.125 0.375 1
# ΔH_f (0 K) = -0.64 eV/atom



Entry 5:
# PuScTcIr | the Alexandria database | GGA-PBE | optimized geometry
data_PuScTcIr
_cell_length_a 6.617
_cell_length_b 6.617
_cell_length_c 6.617
_cell_angle_alpha 90.00
_cell_angle_beta 90.00
_cell_angle_gamma 90.00
_space_group_name_H-M_alt 'F -4 3 m'
_space_group_IT_number 216
_space_group_name_Hall 'F -4 2 3'
loop_
_atom_site_label
_atom_site_type_symbol
_atom_site_fract_x
_atom_site_fract_y
_atom_site_fract_z
_atom_site_occupancy
Pu1 Pu 0.000 0.000 0.000 1
Sc1 Sc 0.000 0.000 0.500 1
Tc1 Tc 0.250 0.250 0.250 1
Ir1 Ir 0.250 0.250 0.750 1
# ΔH_f (0 K) = -0.43 eV/atom



Entry 6:
# PuScZnIr | the Alexandria database | GGA-PBE | optimized geometry
data_PuScZnIr
_cell_length_a 6.785
_cell_length_b 6.785
_cell_length_c 6.785
_cell_angle_alpha 90.00
_cell_angle_beta 90.00
_cell_angle_gamma 90.00
_space_group_name_H-M_alt 'F -4 3 m'
_space_group_IT_number 216
_space_group_name_Hall 'F -4 2 3'
loop_
_atom_site_label
_atom_site_type_symbol
_atom_site_fract_x
_atom_site_fract_y
_atom_site_fract_z
_atom_site_occupancy
Pu1 Pu 0.000 0.000 0.000 1
Sc1 Sc 0.000 0.000 0.500 1
Zn1 Zn 0.250 0.250 0.250 1
Ir1 Ir 0.250 0.250 0.750 1
# ΔH_f (0 K) = -0.42 eV/atom



Entry 7:
# PuZrScIr | the Alexandria database | GGA-PBE | optimized geometry
data_PuZrScIr
_cell_length_a 6.832
_cell_length_b 6.832
_cell_length_c 6.832
_cell_angle_alpha 90.00
_cell_angle_beta 90.00
_cell_angle_gamma 90.00
_space_group_name_H-M_alt 'F -4 3 m'
_space_group_IT_number 216
_space_group_name_Hall 'F -4 2 3'
loop_
_atom_site_label
_atom_site_type_symbol
_atom_site_fract_x
_atom_site_fract_y
_atom_site_fract_z
_atom_site_occupancy
Pu1 Pu 0.000 0.000 0.000 1
Zr1 Zr 0.250 0.250 0.750 1
Sc1 Sc 0.250 0.250 0.250 1
Ir1 Ir 0.000 0.000 0.500 1
# ΔH_f (0 K) = -0.18 eV/atom



Entry 8:
# Pu2IrSe | the Alexandria database | GGA-PBE | optimized geometry
data_Pu2IrSe
_cell_length_a 3.464
_cell_length_b 3.464
_cell_length_c 7.195
_cell_angle_alpha 90.00
_cell_angle_beta 90.00
_cell_angle_gamma 90.00
_space_group_name_H-M_alt 'P 4/m m m'
_space_group_IT_number 123
_space_group_name_Hall '-P 4 2'
loop_
_atom_site_label
_atom_site_type_symbol
_atom_site_fract_x
_atom_site_fract_y
_atom_site_fract_z
_atom_site_occupancy
Pu1 Pu 0.000 0.000 0.235 1
Ir1 Ir 0.500 0.500 0.000 1
Se1 Se 0.500 0.500 0.500 1
# raw formation energy = -0.841 eV/atom



Entry 9:
# Pu2IrSe | the Alexandria database | GGA-PBE | optimized geometry
data_Pu2IrSe
_cell_length_a 4.0264
_cell_length_b 4.0264
_cell_length_c 20.7382
_cell_angle_alpha 90.00
_cell_angle_beta 90.00
_cell_angle_gamma 120.00
_space_group_name_H-M_alt 'R -3 m'
_space_group_IT_number 166
_space_group_name_Hall '-R 3 2"'
loop_
_atom_site_label
_atom_site_type_symbol
_atom_site_fract_x
_atom_site_fract_y
_atom_site_fract_z
_atom_site_occupancy
Pu1 Pu 0.0000 0.0000 0.2428 1
Ir1 Ir 0.0000 0.0000 0.5000 1
Se1 Se 0.0000 0.0000 0.0000 1
# raw formation energy = -0.923 eV/atom



Entry 10:
# Pu2Si7Ir12 | the Alexandria database | GGA-PBE | optimized geometry
data_Pu2Si7Ir12
_cell_length_a 9.7791
_cell_length_b 9.7791
_cell_length_c 3.8797
_cell_angle_alpha 90.00
_cell_angle_beta 90.00
_cell_angle_gamma 120.00
_space_group_name_H-M_alt 'P -6'
_space_group_IT_number 174
_space_group_name_Hall 'P -6'
loop_
_atom_site_label
_atom_site_type_symbol
_atom_site_fract_x
_atom_site_fract_y
_atom_site_fract_z
_atom_site_occupancy
Pu1 Pu 0.0000 0.0000 0.0000 1
Pu2 Pu 0.3333 0.6667 0.5000 1
Si1 Si 0.0712 0.4491 0.0000 1
Si2 Si 0.2621 0.2199 0.5000 1
Si3 Si 0.6667 0.3333 0.0000 1
Ir1 Ir 0.0492 0.2736 0.5000 1
Ir2 Ir 0.1104 0.7129 0.0000 1
Ir3 Ir 0.3954 0.1830 0.0000 1
Ir4 Ir 0.5269 0.4459 0.5000 1
# raw formation energy = -0.723 eV/atom



Entry 11:
# PuSi4Ir4 | the Alexandria database | GGA-PBE | optimized geometry
data_PuSi4Ir4
_cell_length_a 8.799
_cell_length_b 8.799
_cell_length_c 4.053
_cell_angle_alpha 90.00
_cell_angle_beta 90.00
_cell_angle_gamma 90.00
_space_group_name_H-M_alt 'I 4/m'
_space_group_IT_number 87
_space_group_name_Hall '-I 4'
loop_
_atom_site_label
_atom_site_type_symbol
_atom_site_fract_x
_atom_site_fract_y
_atom_site_fract_z
_atom_site_occupancy
Pu1 Pu 0.000 0.000 0.000 1
Si1 Si 0.165 0.272 0.500 1
Ir1 Ir 0.086 0.649 0.500 1
# raw formation energy = -0.581 eV/atom



Entry 12:
# Pu3SiIr | the Alexandria database | GGA-PBE | optimized geometry
data_Pu3SiIr
_cell_length_a 4.740
_cell_length_b 6.700
_cell_length_c 6.605
_cell_angle_alpha 90.00
_cell_angle_beta 90.00
_cell_angle_gamma 90.00
_space_group_name_H-M_alt 'P m m n'
_space_group_IT_number 59
loop_
_space_group_symop_operation_xyz
'x,y,z'
'-x,-y,-z'
'-x+1/2,-y+1/2,z'
'x+1/2,y+1/2,-z'
'x+1/2,-y,-z'
'-x+1/2,y,z'
'-x,y+1/2,-z'
'x,-y+1/2,z'
loop_
_atom_site_label
_atom_site_type_symbol
_atom_site_fract_x
_atom_site_fract_y
_atom_site_fract_z
_atom_site_occupancy
Pu1 Pu 0.250 0.037 0.231 1
Pu2 Pu 0.250 0.250 0.708 1
Si1 Si 0.250 0.750 0.565 1
Ir1 Ir 0.250 0.750 0.935 1
# raw formation energy = -0.354 eV/atom